(1)
Here is a geometry-optimized Rb2PaPd2S4 structure from Alexandria. Energies are from GGA-PBE.

abc: 4.046 7.895 7.593
angles: 108.07 105.45 90.00
Positions (direct):
Rb 0.137 0.572 0.274
Rb 0.863 0.428 0.726
Pa 0.000 0.000 0.000
Pd 0.683 0.006 0.367
Pd 0.317 0.994 0.633
S 0.189 0.176 0.378
S 0.811 0.824 0.622
S 0.515 0.777 0.029
S 0.485 0.223 0.971

- final energy (eV/atom) = -5.398
- raw formation energy (eV/atom) = -1.1395
- magnetization (μB per formula unit) = 0.000

(2)
Here is a geometry-optimized CsKRb4O structure from Alexandria. Energies are from GGA-PBE.

abc: 9.265 9.265 15.662
angles: 71.70 71.70 60.52
Positions (direct):
Cs 0.978 0.978 0.354
Cs 0.022 0.022 0.646
K 0.139 0.139 0.027
K 0.861 0.861 0.973
Rb 0.368 0.368 0.437
Rb 0.632 0.632 0.563
Rb 0.076 0.508 0.238
Rb 0.538 0.538 0.155
Rb 0.492 0.924 0.762
Rb 0.508 0.076 0.238
Rb 0.462 0.462 0.845
Rb 0.924 0.492 0.762
O 0.624 0.624 0.730
O 0.376 0.376 0.270

- final energy (eV/atom) = -1.916
- raw formation energy (eV/atom) = -0.3757
- magnetization (μB per formula unit) = 0.000

(3)
Here is a geometry-optimized Se2IO structure from Alexandria. Energies are from GGA-PBE.

abc: 5.366 5.366 7.754
angles: 69.76 69.76 90.00
Positions (direct):
I 0.000 0.000 0.000
I 0.750 0.250 0.500
O 0.500 0.500 0.000
O 0.250 0.750 0.500
Se 0.420 0.125 0.250
Se 0.330 0.625 0.250
Se 0.375 0.580 0.750
Se 0.875 0.670 0.750

- final energy (eV/atom) = -3.072
- raw formation energy (eV/atom) = 0.2969
- magnetization (μB per formula unit) = 0.000

(4)
Here is a geometry-optimized Ac2DyBi3Rh4 structure from Alexandria. Energies are from GGA-PBE.

abc: 4.645 4.645 11.506
angles: 90.00 90.00 90.00
Positions (direct):
Ac 0.500 0.000 0.233
Ac 0.000 0.500 0.767
Dy 0.500 0.500 0.500
Bi 0.000 0.000 0.500
Bi 0.500 0.000 0.874
Bi 0.000 0.500 0.126
Rh 0.500 0.500 0.000
Rh 0.000 0.000 0.000
Rh 0.500 0.000 0.640
Rh 0.000 0.500 0.360

- final energy (eV/atom) = -6.012
- magnetization (μB per formula unit) = 0.117

(5)
Here is a geometry-optimized Sm3Ge2O structure from Alexandria. Energies are from GGA-PBE.

abc: 5.978 7.498 7.191
angles: 104.57 114.56 90.00
Positions (direct):
Sm 0.443 0.250 0.000
Sm 0.557 0.750 0.000
Sm 0.131 0.080 0.285
Sm 0.847 0.420 0.715
Sm 0.153 0.580 0.285
Sm 0.869 0.920 0.715
Ge 0.688 0.583 0.349
Ge 0.661 0.083 0.349
Ge 0.339 0.917 0.651
Ge 0.312 0.417 0.651
O 0.947 0.750 0.000
O 0.053 0.250 0.000

- final energy (eV/atom) = -6.080
- raw formation energy (eV/atom) = -1.3546
- magnetization (μB per formula unit) = 0.000

(6)
Here is a geometry-optimized MgTa2Mn structure from Alexandria. Energies are from GGA-PBE.

abc: 5.288 5.288 4.668
angles: 63.79 63.79 35.24
Positions (direct):
Mg 0.250 0.250 0.250
Mn 0.750 0.750 0.750
Ta 0.033 0.033 0.967
Ta 0.467 0.467 0.533

- final energy (eV/atom) = -8.414
- magnetization (μB per formula unit) = 0.000

(7)
Here is a geometry-optimized YTc2Bi2 structure from Alexandria. Energies are from GGA-PBE.

abc: 4.697 4.697 6.400
angles: 68.47 68.47 90.00
Positions (direct):
Y 0.000 0.000 0.000
Bi 0.365 0.365 0.271
Bi 0.635 0.635 0.729
Tc 0.750 0.250 0.500
Tc 0.250 0.750 0.500

- final energy (eV/atom) = -6.679
- magnetization (μB per formula unit) = 0.000

(8)
Here is a geometry-optimized Sr2PaReO8 structure from Alexandria. Energies are from GGA-PBE.

abc: 5.327 5.324 6.826
angles: 90.00 90.00 91.99
Positions (direct):
Sr 0.500 0.500 0.759
Sr 0.500 0.500 0.241
Pa 0.000 0.000 0.500
Re 0.000 0.000 0.000
O 0.167 0.831 0.214
O 0.749 0.751 0.000
O 0.833 0.169 0.214
O 0.833 0.169 0.786
O 0.251 0.249 0.000
O 0.167 0.831 0.786
O 0.729 0.730 0.500
O 0.271 0.270 0.500

- final energy (eV/atom) = -8.043
- raw formation energy (eV/atom) = -2.6282
- magnetization (μB per formula unit) = 0.000

(9)
Here is a geometry-optimized CaNd4Pd4 structure from Alexandria. Energies are from GGA-PBE.

abc: 5.913 9.280 9.280
angles: 90.00 90.00 90.00
Positions (direct):
Ca 0.000 0.000 0.000
Ca 0.500 0.500 0.500
Nd 0.416 0.320 0.906
Nd 0.916 0.594 0.820
Nd 0.416 0.680 0.094
Nd 0.084 0.180 0.594
Nd 0.584 0.906 0.680
Nd 0.084 0.820 0.406
Nd 0.916 0.406 0.180
Nd 0.584 0.094 0.320
Pd 0.587 0.787 0.378
Pd 0.587 0.213 0.622
Pd 0.087 0.878 0.713
Pd 0.913 0.287 0.878
Pd 0.913 0.713 0.122
Pd 0.413 0.378 0.213
Pd 0.413 0.622 0.787
Pd 0.087 0.122 0.287

- final energy (eV/atom) = -5.248
- magnetization (μB per formula unit) = 0.000

(10)
Here is a geometry-optimized La3Dy3ErSe8 structure from Alexandria. Energies are from GGA-PBE.

abc: 8.275 8.276 8.423
angles: 119.42 90.00 120.00
Positions (direct):
La 0.000 0.000 0.000
La 0.000 0.500 0.000
La 0.500 0.500 0.000
Dy 0.500 0.000 0.500
Dy 0.500 0.500 0.500
Dy 0.000 0.500 0.500
Er 0.000 0.000 0.500
Se 0.256 0.512 0.268
Se 0.744 0.488 0.732
Se 0.754 0.509 0.267
Se 0.246 0.491 0.733
Se 0.755 0.012 0.266
Se 0.245 0.988 0.734
Se 0.257 0.012 0.266
Se 0.743 0.988 0.734

- final energy (eV/atom) = -5.981
- raw formation energy (eV/atom) = -1.9127
- magnetization (μB per formula unit) = 0.000

(11)
Here is a geometry-optimized Ce3Pa2Co2 structure from Alexandria. Energies are from GGA-PBE.

abc: 5.885 5.885 8.468
angles: 72.90 72.90 33.74
Positions (direct):
Ce 0.500 0.500 0.000
Ce 0.608 0.608 0.554
Ce 0.392 0.392 0.446
Pa 0.823 0.823 0.825
Pa 0.177 0.177 0.175
Co 0.834 0.834 0.211
Co 0.166 0.166 0.789

- final energy (eV/atom) = -7.445
- magnetization (μB per formula unit) = 0.000

(12)
Here is a geometry-optimized TaCoPt3 structure from Alexandria. Energies are from GGA-PBE.

abc: 4.847 4.847 4.847
angles: 90.00 90.00 90.00
Positions (direct):
Co 0.500 0.500 0.500
Pt 0.000 0.500 0.000
Pt 0.000 0.000 0.500
Pt 0.500 0.000 0.000
Ta 0.000 0.000 0.000

- final energy (eV/atom) = -6.140
- magnetization (μB per formula unit) = 2.034

Look up the magnetization of the third one. 0.000 μB per formula unit